(1)
Computed, not measured: a geometry-optimized KRbCa3 structure at the PBEsol level of DFT.

Values from the calculation:
- Final energy: -5.32 eV for the cell shown
- Volume: 318 Å³ per cell
- Space-group type: Pm-3m (221)
- Formation energy: 647 meV per atom

Lattice parameters (Å, degrees): 6.8274 6.8274 6.8274 90.00 90.00 90.00
Closest atoms and distances in Å follow each position.
Atoms (fractional coordinates):
1 Ca 0.0000 0.5000 0.0000  2 K 3.41
2 Ca 0.0000 0.0000 0.5000  2 K 3.41
3 Ca 0.5000 0.0000 0.0000  2 K 3.41
4 K 0.0000 0.0000 0.0000  6 Ca 3.41
5 Rb 0.5000 0.5000 0.5000  12 Ca 4.83



(2)
Computed, not measured: a geometry-optimized Tl2SbBr structure at the PBEsol level of DFT.

Values from the calculation:
- Final energy: -12.28 eV for the cell shown
- Energy relative to the elements, uncorrected: -0.15 eV/atom
- Volume: 114 Å³ per cell
- Excess energy over the best structure of this formula in the dataset: 90 meV per atom
- Space-group type: P2/m (10)

Lattice parameters (Å, degrees): 3.5142 4.9547 6.5279 90.00 89.92 90.00
Closest atoms and distances in Å follow each position.
Atoms (fractional coordinates):
1 Sb 0.5000 0.5000 0.5000  2 Br 3.26, 8 Tl 3.47, 2 Sb 3.51
2 Tl 0.9990 0.0000 0.7567  4 Tl 3.18-3.51, 4 Br 3.42-3.43, 4 Sb 3.47
3 Tl 0.0010 0.0000 0.2433  4 Tl 3.18-3.51, 4 Br 3.42-3.43, 4 Sb 3.47
4 Br 0.5000 0.5000 0.0000  2 Sb 3.26, 8 Tl 3.42-3.43, 2 Br 3.51



(3)
Computed, not measured: a geometry-optimized SrIn2Hg structure at the PBEsol level of DFT.

Values from the calculation:
- Final energy: -9.78 eV for the cell shown
- Volume: 106 Å³ per cell
- Space-group type: P4/mmm (123)
- Formation energy: -352 meV per atom

Lattice parameters (Å, degrees): 4.6494 4.6494 4.8905 90.00 90.00 90.00
Closest atoms and distances in Å follow each position.
Atoms (fractional coordinates):
1 Sr 0.5000 0.5000 0.5000  4 Hg 3.29, 8 In 3.37
2 Hg 0.0000 0.0000 0.5000  4 Sr 3.29, 8 In 3.37
3 In 0.0000 0.5000 0.0000  4 In 3.29, 4 Hg 3.37, 4 Sr 3.37
4 In 0.5000 0.0000 0.0000  4 In 3.29, 4 Hg 3.37, 4 Sr 3.37



(4)
Computed, not measured: a geometry-optimized Ta3Br structure at the PBEsol level of DFT.

Values from the calculation:
- Final energy: -38.52 eV for the cell shown
- Energy relative to the elements, uncorrected: 0.25 eV/atom
- Volume: 74 Å³ per cell
- Excess energy over the best structure of this formula in the dataset: 0 meV per atom
- Space-group type: Cmmm (65)

Lattice parameters (Å, degrees): 3.0011 3.0011 8.8773 90.00 90.00 113.18
Closest atoms and distances in Å follow each position.
Atoms (fractional coordinates):
1 Br 0.0000 0.0000 0.0000  4 Ta 2.82, 4 Br 3.00
2 Ta 0.5000 0.5000 0.7433  6 Ta 2.72-3.00, 2 Br 2.82
3 Ta 0.0000 0.0000 0.5000  8 Ta 2.72-3.00
4 Ta 0.5000 0.5000 0.2567  6 Ta 2.72-3.00, 2 Br 2.82



(5)
Computed, not measured: a geometry-optimized Sr2TlPb structure at the PBEsol level of DFT.

Values from the calculation:
- Final energy: -12.39 eV for the cell shown
- Volume: 131 Å³ per cell
- Space-group type: P4/mmm (123)
- Formation energy: -520 meV per atom

Lattice parameters (Å, degrees): 4.0540 5.6789 5.6784 90.00 90.00 90.00
Closest atoms and distances in Å follow each position.
Atoms (fractional coordinates):
1 Pb 0.5000 0.5000 0.1252  8 Sr 3.49
2 Sr 0.0000 0.0000 0.1249  4 Tl 3.49, 4 Pb 3.49
3 Sr 0.0000 0.5000 0.6252  4 Pb 3.49, 4 Tl 3.49
4 Tl 0.5000 0.0000 0.6247  8 Sr 3.49



(6)
Computed, not measured: a geometry-optimized POs2Br structure at the PBEsol level of DFT.

Values from the calculation:
- Final energy: -29.57 eV for the cell shown
- Energy relative to the elements, uncorrected: 0.63 eV/atom
- Volume: 67 Å³ per cell
- Excess energy over the best structure of this formula in the dataset: 236 meV per atom
- Space-group type: P2/m (10)

Lattice parameters (Å, degrees): 2.8978 3.5276 6.7010 90.00 100.63 90.00
Closest atoms and distances in Å follow each position.
Atoms (fractional coordinates):
1 Br 0.0000 0.5000 0.0000  4 Os 2.78, 2 Br 2.90
2 Os 0.1659 0.0000 0.3254  2 P 2.24
3 Os 0.8341 0.0000 0.6746  2 P 2.24
4 P 0.5000 0.5000 0.5000  4 Os 2.24



(7)
Computed, not measured: a geometry-optimized AlP2Cl structure at the PBEsol level of DFT.

Values from the calculation:
- Final energy: -18.79 eV for the cell shown
- Energy relative to the elements, uncorrected: -0.28 eV/atom
- Volume: 79 Å³ per cell
- Excess energy over the best structure of this formula in the dataset: 0 meV per atom
- Space-group type: R3m (160)

Lattice parameters (Å, degrees): 3.4536 3.4536 7.8836 77.35 77.35 60.00
Closest atoms and distances in Å follow each position.
Atoms (fractional coordinates):
1 P 0.0346 0.0346 0.8961  3 P 2.33
2 P 0.7536 0.7536 0.7392  3 P 2.33, 3 Al 2.55
3 Al 0.4897 0.4897 0.5309  3 Cl 2.50, 3 P 2.55
4 Cl 0.2220 0.2220 0.3339  3 Al 2.50



(8)
Computed, not measured: a geometry-optimized CsAg2P structure at the PBEsol level of DFT.

Values from the calculation:
- Final energy: -27.89 eV for the cell shown
- Volume: 253 Å³ per cell
- Space-group type: I4_1/amd (141)
- Formation energy: -147 meV per atom

Lattice parameters (Å, degrees): 5.8352 5.8352 8.4877 110.11 110.11 90.00
Closest atoms and distances in Å follow each position.
Atoms (fractional coordinates):
1 Cs 0.0000 0.0000 0.0000  8 Ag 3.75, 4 P 4.13
2 Cs 0.2500 0.7500 0.5000  8 Ag 3.75, 4 P 4.13
3 P 0.5000 0.5000 0.0000  4 Ag 2.36
4 P 0.7500 0.2500 0.5000  4 Ag 2.36
5 Ag 0.6250 0.3750 0.7500  2 P 2.36
6 Ag 0.1250 0.3750 0.7500  2 P 2.36
7 Ag 0.6250 0.8750 0.2500  2 P 2.36
8 Ag 0.6250 0.3750 0.2500  2 P 2.36



(9)
Computed, not measured: a geometry-optimized ZrH6NOF5 structure at the PBEsol level of DFT.

Values from the calculation:
- Final energy: -322.46 eV for the cell shown
- Volume: 515 Å³ per cell
- Space-group type: P2_1/c (14)

Lattice parameters (Å, degrees): 6.7701 7.5973 10.2260 90.00 101.88 90.00
Closest atoms and distances in Å follow each position.
Atoms (fractional coordinates):
1 Zr 0.7360 0.4488 0.4573  7 F 2.02-2.22
2 Zr 0.2360 0.0512 0.9573  7 F 2.02-2.22
3 Zr 0.2640 0.5512 0.5427  7 F 2.02-2.22
4 Zr 0.7640 0.9488 0.0427  7 F 2.02-2.22
5 H 0.7380 0.5616 0.1900  1 O 1.02
6 H 0.2380 0.9384 0.6900  1 O 1.02
7 H 0.2620 0.4384 0.8100  1 O 1.02
8 H 0.7620 0.0616 0.3100  1 O 1.02
9 H 0.7031 0.3513 0.1860  1 O 1.01
10 H 0.2031 0.1487 0.6860  1 O 1.01
11 H 0.2969 0.6487 0.8140  1 O 1.01
12 H 0.7969 0.8513 0.3140  1 O 1.01
13 H 0.9188 0.9607 0.6720  1 N 1.05
14 H 0.4188 0.5393 0.1720  1 N 1.05
15 H 0.0812 0.0393 0.3280  1 N 1.05
16 H 0.5812 0.4607 0.8280  1 N 1.05
17 H 0.7028 0.0585 0.6117  1 N 1.03
18 H 0.2028 0.4415 0.1117  1 N 1.03
19 H 0.2972 0.9415 0.3883  1 N 1.03
20 H 0.7972 0.5585 0.8883  1 N 1.03
21 H 0.7381 0.8489 0.5590  1 N 1.04
22 H 0.2381 0.6511 0.0590  1 N 1.04
23 H 0.2619 0.1511 0.4410  1 N 1.04
24 H 0.7619 0.3489 0.9410  1 N 1.04
25 H 0.7094 0.8835 0.7193  1 N 1.05
26 H 0.2094 0.6165 0.2193  1 N 1.05
27 H 0.2906 0.1165 0.2807  1 N 1.05
28 H 0.7906 0.3835 0.7807  1 N 1.05
29 N 0.7639 0.9358 0.6390  4 H 1.03-1.05
30 N 0.2639 0.5642 0.1390  4 H 1.03-1.05
31 N 0.2361 0.0642 0.3610  4 H 1.03-1.05
32 N 0.7361 0.4358 0.8610  4 H 1.03-1.05
33 O 0.6699 0.4620 0.2310  2 H 1.01-1.02
34 O 0.1699 0.0380 0.7310  2 H 1.01-1.02
35 O 0.3301 0.5380 0.7690  2 H 1.01-1.02
36 O 0.8301 0.9620 0.2690  2 H 1.01-1.02
37 F 0.4167 0.4269 0.4014  2 Zr 2.13-2.16, 1 F 2.37
38 F 0.9167 0.0731 0.9014  2 Zr 2.13-2.16, 1 F 2.37
39 F 0.5833 0.5731 0.5986  2 Zr 2.13-2.16, 1 F 2.37
40 F 0.0833 0.9269 0.0986  2 Zr 2.13-2.16, 1 F 2.37
41 F 0.7090 0.7101 0.4005  1 H 1.58
42 F 0.2090 0.7899 0.9005  1 H 1.58
43 F 0.2910 0.2899 0.5995  1 H 1.58
44 F 0.7910 0.2101 0.0995  1 H 1.58
45 F 0.6842 0.1954 0.3886  1 H 1.46
46 F 0.1842 0.3046 0.8886  1 H 1.46
47 F 0.3158 0.8046 0.6114  1 H 1.46
48 F 0.8158 0.6954 0.1114  1 H 1.46
49 F 0.8027 0.2985 0.6240  2 H 1.75-1.94
50 F 0.3027 0.2015 0.1240  2 H 1.75-1.94
51 F 0.1973 0.7015 0.3760  2 H 1.75-1.94
52 F 0.6973 0.7985 0.8760  2 H 1.75-1.94
53 F 0.0179 0.4064 0.4089  2 Zr 2.09-2.22
54 F 0.5179 0.0936 0.9089  2 Zr 2.09-2.22
55 F 0.9821 0.5936 0.5911  2 Zr 2.09-2.22
56 F 0.4821 0.9064 0.0911  2 Zr 2.09-2.22



(10)
Computed, not measured: a geometry-optimized Ca2TcAsO structure at the PBEsol level of DFT.

Values from the calculation:
- Final energy: -28.16 eV for the cell shown
- Energy relative to the elements, uncorrected: -0.45 eV/atom
- Volume: 113 Å³ per cell
- Space-group type: P4/mmm (123)

Lattice parameters (Å, degrees): 3.6525 5.5599 5.5599 90.00 90.00 90.00
Closest atoms and distances in Å follow each position.
Atoms (fractional coordinates):
1 As 0.5000 0.5000 0.5000  8 Ca 3.33, 2 As 3.65
2 Ca 0.0000 0.0000 0.5000  2 Tc 2.78
3 Ca 0.0000 0.5000 0.0000  2 Tc 2.78
4 Tc 0.0000 0.0000 0.0000  2 O 1.83
5 O 0.5000 0.0000 0.0000  2 Tc 1.83